A geometry-optimized AgMoAsO6 structure, computed with PBE with a Hubbard U.

The space group is P-31c (No. 163) and the conventional cell measures 5.1303, 5.1303 and 10.3985 Å, with angles of 90.00, 90.00 and 120.00 degrees. The inequivalent atoms are Ag at (0.0000, 0.0000, 0.0000), Mo at (0.3333, 0.6667, 0.2500), As at (0.3333, 0.6667, 0.7500) and O at (0.0120, 0.3897, 0.6481).

For the density, the calculation gives 5.25 Mg/m³. The total energy comes out at -6.014 eV/atom. Its crystal system is trigonal. Its energy relative to the lowest polymorph listed for this composition is 6.2 kJ/mol of atoms.